Crystalline TcRu5 at its relaxed geometry. Source: the Alexandria database, functional GGA-PBE.

Calculated values
The volume comes out at 83.88 Å³/f.u. The total energy comes out at -9.487 eV per atom. Its density of states at the Fermi level is 5.6 states/eV per cell.

Cell: 2.733 7.227 4.325 Å, 90.00 90.00 79.10°
Fractional positions:
Ru 0.555 0.890 0.500
Ru 0.222 0.557 0.500
Tc 0.890 0.220 0.500
Ru 0.667 0.666 0.000
Ru 0.333 0.334 0.000
Ru 0.000 0.001 0.000